Here is Ho4Sc5Tl after structural relaxation from Alexandria. Energies are from PBE.

Calculated values
Formation energy from the elements ... 0.108 eV per atom
Final energy ... -51.255 eV for the cell shown

```
10
Lattice="-5.306 1.044 1.027 -4.168 -0.359 -6.422 -3.804 -6.446 1.650" Properties=species:S:1:pos:R:3 pbc="T T T"
Ho -6.328 -4.056 -0.425
Ho -9.542 -3.860 -2.480
Ho -3.249 -1.997 -1.359
Ho -6.463 -1.802 -3.415
Sc -9.434 -5.773 0.074
Sc -7.314 -4.282 -5.236
Sc -5.496 -1.572 1.400
Sc -3.375 -0.080 -3.909
Sc -3.595 0.707 0.696
Tl -1.021 0.201 0.197
```

=====

Here is HoScTl6 after structural relaxation from Alexandria. Energies are from PBE.

Calculated values
Formation energy from the elements ... -0.155 eV per atom
Final energy ... -26.348 eV for the cell shown

```
8
Lattice="-3.321 -3.358 0.083 2.497 -2.546 -3.097 4.485 -4.258 7.115" Properties=species:S:1:pos:R:3 pbc="T T T"
Ho 0.000 0.000 0.000
Sc 2.242 -2.129 3.558
Tl -0.412 -2.952 -1.507
Tl 1.831 -5.081 2.050
Tl -0.516 -2.766 1.858
Tl 1.680 -4.850 5.341
Tl 2.393 -2.360 0.267
Tl 4.588 -4.444 3.750
```

=====

Here is HoScTl3 after structural relaxation from Alexandria. Energies are from PBE.

Calculated values
Formation energy from the elements ... -0.041 eV per atom
Final energy ... -36.421 eV for the cell shown

```
10
Lattice="6.122 0.000 0.000 0.000 7.248 -0.001 0.000 -3.623 6.278" Properties=species:S:1:pos:R:3 pbc="T T T"
Ho 1.531 0.003 4.183
Ho 4.592 3.622 2.093
Sc 0.000 0.000 0.000
Sc 3.061 0.000 0.000
Tl 1.531 5.124 1.226
Tl 4.592 -1.499 5.051
Tl 1.531 3.624 3.824
Tl 4.592 0.001 2.452
Tl 1.531 2.124 1.227
Tl 4.592 1.502 5.050
```

=====

Here is Ho8ScTl2 after structural relaxation from Alexandria. Energies are from PBE.

Calculated values
Formation energy from the elements ... -0.001 eV per atom
Final energy ... -47.701 eV for the cell shown

```
11
Lattice="-0.283 -5.473 -0.323 7.014 1.108 5.066 -7.898 1.993 3.120" Properties=species:S:1:pos:R:3 pbc="T T T"
Ho 0.728 -2.478 6.416
Ho -2.628 -2.279 5.978
Ho -0.623 0.252 4.891
Ho 3.714 -1.441 4.492
Ho -4.880 -0.931 3.371
Ho -0.543 -2.624 2.972
Ho 1.461 -0.093 1.885
Ho -1.895 0.106 1.447
Sc -0.141 -2.737 -0.161
Tl -3.341 1.723 3.715
Tl 2.457 1.379 4.471
```